(1)
Crystalline BaMg2Ta at its relaxed geometry, computed with GGA-PBEsol. Values from VASP.

Geometry as Quantum ESPRESSO input:
```
&SYSTEM
  ibrav = 0, nat = 4, ntyp = 3
/
ATOMIC_SPECIES
Ta 180.95 Ta.upf
Mg 24.30 Mg.upf
Ba 137.33 Ba.upf
ATOMIC_POSITIONS crystal
Ta 0.500 0.000 0.500
Mg 0.750 0.500 0.750
Mg 0.250 0.500 0.250
Ba 0.000 0.000 0.000
CELL_PARAMETERS angstrom
4.743 0.000 0.000
-2.371 5.089 -0.169
0.000 2.347 4.121
```


(2)
Crystalline BaMgTc2 at its relaxed geometry, computed with GGA-PBEsol. Values from VASP.

Geometry as Quantum ESPRESSO input:
```
&SYSTEM
  ibrav = 0, nat = 4, ntyp = 3
/
ATOMIC_SPECIES
Mg 24.30 Mg.upf
Ba 137.33 Ba.upf
Tc 98.00 Tc.upf
ATOMIC_POSITIONS crystal
Mg 0.000 0.000 0.500
Ba 0.500 0.500 0.500
Tc 0.500 0.000 0.000
Tc 0.000 0.500 0.000
CELL_PARAMETERS angstrom
4.242 0.000 0.000
0.000 4.242 0.000
0.000 0.000 4.464
```


(3)
Crystalline BaMg2Tc at its relaxed geometry, computed with GGA-PBEsol. Values from VASP.

Computed properties:
Excess energy over the best structure of this formula in the dataset in eV/atom: 0.243

Geometry as Quantum ESPRESSO input:
```
&SYSTEM
  ibrav = 0, nat = 4, ntyp = 3
/
ATOMIC_SPECIES
Ba 137.33 Ba.upf
Mg 24.30 Mg.upf
Tc 98.00 Tc.upf
ATOMIC_POSITIONS crystal
Ba 0.750 0.500 0.750
Mg 0.000 0.000 0.000
Mg 0.250 0.500 0.250
Tc 0.500 0.000 0.500
CELL_PARAMETERS angstrom
4.890 0.000 0.000
-2.445 4.618 -0.001
0.000 2.590 4.148
```


(4)
Crystalline BaMg2Tc at its relaxed geometry, computed with GGA-PBEsol. Values from VASP.

Computed properties:
Excess energy over the best structure of this formula in the dataset in eV/atom: 0.000

Geometry as Quantum ESPRESSO input:
```
&SYSTEM
  ibrav = 0, nat = 4, ntyp = 3
/
ATOMIC_SPECIES
Ba 137.33 Ba.upf
Mg 24.30 Mg.upf
Tc 98.00 Tc.upf
ATOMIC_POSITIONS crystal
Ba 0.500 0.500 0.707
Mg 0.500 0.500 0.288
Mg 0.000 0.000 0.075
Tc 0.000 0.000 0.430
CELL_PARAMETERS angstrom
3.150 0.000 0.000
0.000 3.877 0.000
0.000 0.000 8.014
```


Number 1: magnetic moment 1.9 μB per formula unit, calculated formation energy 306 kJ/mol of formula units, final energy -14.968 eV for the cell shown. Number 2: magnetic moment 2.8 μB per formula unit, calculated formation energy 484 kJ/mol of formula units, final energy -21.387 eV for the cell shown. Number 3: magnetic moment 0.8 μB per formula unit, calculated formation energy 293 kJ/mol of formula units, final energy -13.812 eV for the cell shown. Number 4: magnetic moment 0.0 μB per formula unit, calculated formation energy 199 kJ/mol of formula units, final energy -14.782 eV for the cell shown.